{
  "formula": "CsK2AgBr",
  "functional": "PBE",
  "state": "optimized geometry",
  "lattice_angstrom": [[6.279, 0.000, 0.000], [0.000, 6.279, 0.000], [0.000, 0.000, 6.995]],
  "species": ["Cs", "K", "K", "Ag", "Br"],
  "fractional_positions": [[0.000, 0.000, 0.000], [0.000, 0.500, 0.500], [0.500, 0.000, 0.500], [0.500, 0.500, 0.000], [0.000, 0.000, 0.500]],
  "raw_formation_energy_mev_per_atom": -525,
  "spacegroup": "P4/mmm (123)",
  "m_tot_mub_per_fu": 0.00,
  "dft_energy_ev_per_cell": -10.196
}